CaTaNbAs2 | GGA-PBE | relaxed

a = 5.0670 Å, b = 5.0670 Å, c = 4.9559 Å
α = 90.00°, β = 90.00°, γ = 90.00°
Space group P4/mmm (No. 123)
Symmetry-distinct sites (fractional):
Ca  0.0000  0.0000  0.0000
Ta  0.5000  0.5000  0.5000
Nb  0.5000  0.5000  0.0000
As  0.0000  0.5000  0.5000

ΔH_f (0 K)   0.376 eV/atom
Total energy   -0.2304 Ha/atom